Record 1
A relaxed structure of V3SiH, computed with PBE.

Results
**V**: 11.4 Å³ per atom
**Symmetry**: P-1
**Uncorrected energy**: -7.3449 eV per atom

abc: 2.6468 6.8307 7.1967
angles: 117.94 94.14 92.71
Positions (direct):
V 0.1891 0.3763 0.0965
V 0.1977 0.3226 0.5035
V 0.2978 0.9453 0.8333
V 0.7022 0.0547 0.1667
V 0.8023 0.6774 0.4965
V 0.8109 0.6237 0.9035
Si 0.2599 0.8029 0.2686
Si 0.7401 0.1971 0.7314
H 0.2554 0.6295 0.6987
H 0.7446 0.3705 0.3013

Record 2
A relaxed structure of Nd12Sb6Rh, computed with PBE.

Results
**V**: 34.7 Å³ per atom
**E_form (uncorrected)**: -702 meV per atom
**Symmetry**: R-3

abc: 8.8429 8.8429 8.8429
angles: 99.49 99.49 99.49
Positions (direct):
Nd 0.0154 0.9437 0.6835
Nd 0.0563 0.3165 0.9846
Nd 0.1928 0.5556 0.4197
Nd 0.3165 0.9846 0.0563
Nd 0.4197 0.1928 0.5556
Nd 0.4444 0.5803 0.8072
Nd 0.5556 0.4197 0.1928
Nd 0.5803 0.8072 0.4444
Nd 0.6835 0.0154 0.9437
Nd 0.8072 0.4444 0.5803
Nd 0.9437 0.6835 0.0154
Nd 0.9846 0.0563 0.3165
Sb 0.1235 0.3130 0.6417
Sb 0.3130 0.6417 0.1235
Sb 0.3583 0.8765 0.6870
Sb 0.6417 0.1235 0.3130
Sb 0.6870 0.3583 0.8765
Sb 0.8765 0.6870 0.3583
Rh 0.0000 0.0000 0.0000

Record 3
A relaxed structure of UTiPt, computed with PBE.

Results
**Formation energy**: -393.8 meV/atom
**V**: 18.5 Å³ per atom
**Symmetry**: P6_3/mmc

abc: 4.8888 4.8888 5.3519
angles: 90.00 90.00 120.00
Positions (direct):
U 0.0000 0.0000 0.0000
U 0.0000 0.0000 0.5000
Ti 0.3333 0.6667 0.2500
Ti 0.6667 0.3333 0.7500
Pt 0.3333 0.6667 0.7500
Pt 0.6667 0.3333 0.2500

Record 4
A relaxed structure of CuIrPt, computed with PBE.

Results
**Formation energy**: 551.6 meV/atom
**V**: 17.2 Å³ per atom
**Symmetry**: F-43m

abc: 5.9063 5.9063 5.9063
angles: 90.00 90.00 90.00
Positions (direct):
Cu 0.0000 0.0000 0.0000
Cu 0.0000 0.5000 0.5000
Cu 0.5000 0.0000 0.5000
Cu 0.5000 0.5000 0.0000
Ir 0.2500 0.2500 0.7500
Ir 0.2500 0.7500 0.2500
Ir 0.7500 0.2500 0.2500
Ir 0.7500 0.7500 0.7500
Pt 0.0000 0.0000 0.5000
Pt 0.0000 0.5000 0.0000
Pt 0.5000 0.0000 0.0000
Pt 0.5000 0.5000 0.5000

Record 5
A relaxed structure of CrOsAu, computed with PBE.

Results
**Formation energy**: 675.9 meV/atom
**V**: 16.8 Å³ per atom
**Symmetry**: F-43m

abc: 5.8600 5.8600 5.8600
angles: 90.00 90.00 90.00
Positions (direct):
Cr 0.0000 0.0000 0.0000
Cr 0.0000 0.5000 0.5000
Cr 0.5000 0.0000 0.5000
Cr 0.5000 0.5000 0.0000
Os 0.2500 0.2500 0.2500
Os 0.2500 0.7500 0.7500
Os 0.7500 0.2500 0.7500
Os 0.7500 0.7500 0.2500
Au 0.2500 0.2500 0.7500
Au 0.2500 0.7500 0.2500
Au 0.7500 0.2500 0.2500
Au 0.7500 0.7500 0.7500

Record 6
A relaxed structure of KTaIr2, computed with PBE.

Results
**Formation energy**: 224.8 meV/atom
**V**: 21.9 Å³ per atom
**Symmetry**: Cm

abc: 6.7944 3.0010 9.0214
angles: 90.00 108.11 90.00
Positions (direct):
K 0.0000 0.0000 0.0000
K 0.5000 0.5000 0.0000
Ta 0.2763 0.5000 0.4996
Ta 0.7763 0.0000 0.4996
Ir 0.1465 0.0000 0.6870
Ir 0.4065 0.0000 0.3122
Ir 0.6465 0.5000 0.6870
Ir 0.9065 0.5000 0.3122

Record 7
A relaxed structure of ZrSb2Cl, computed with PBE.

Results
**V**: 24.4 Å³ per atom
**E_form (uncorrected)**: 4 meV per atom
**Symmetry**: Fm-3m

abc: 7.3080 7.3080 7.3080
angles: 90.00 90.00 90.00
Positions (direct):
Zr 0.0000 0.0000 0.0000
Zr 0.0000 0.5000 0.5000
Zr 0.5000 0.0000 0.5000
Zr 0.5000 0.5000 0.0000
Sb 0.2500 0.2500 0.2500
Sb 0.2500 0.2500 0.7500
Sb 0.2500 0.7500 0.2500
Sb 0.2500 0.7500 0.7500
Sb 0.7500 0.2500 0.2500
Sb 0.7500 0.2500 0.7500
Sb 0.7500 0.7500 0.2500
Sb 0.7500 0.7500 0.7500
Cl 0.0000 0.0000 0.5000
Cl 0.0000 0.5000 0.0000
Cl 0.5000 0.0000 0.0000
Cl 0.5000 0.5000 0.5000

Record 8
A relaxed structure of Zn4HI2, computed with PBE.

Results
**V**: 22.0 Å³ per atom
**Symmetry**: I4/mmm
**Uncorrected energy**: -1.3833 eV per atom

abc: 4.4950 4.4950 15.2270
angles: 90.00 90.00 90.00
Positions (direct):
Zn 0.0000 0.0000 0.1273
Zn 0.0000 0.0000 0.8727
Zn 0.0000 0.5000 0.0000
Zn 0.0000 0.5000 0.5000
Zn 0.5000 0.0000 0.0000
Zn 0.5000 0.0000 0.5000
Zn 0.5000 0.5000 0.3727
Zn 0.5000 0.5000 0.6273
H 0.0000 0.0000 0.0000
H 0.5000 0.5000 0.5000
I 0.0000 0.0000 0.3160
I 0.0000 0.0000 0.6840
I 0.5000 0.5000 0.1840
I 0.5000 0.5000 0.8160